No. 1
NbNi2F | PBE+U | relaxed

a b c (Å): 4.155 4.155 4.155
angles (deg): 60.00 60.00 60.00
Fractional coordinates of all 4 atoms:
Ni  0.750  0.750  0.750
Ni  0.250  0.250  0.250
F  0.000  0.000  0.000
Nb  0.500  0.500  0.500

## Properties
Total magnetic moment   0.00 μB/atom
Excess energy over the best structure of this formula in the dataset   323 meV per atom
Theoretical density   7.5 Mg/m³



No. 2
Nb2Ni2F | PBE+U | relaxed

a b c (Å): 4.354 4.354 5.258
angles (deg): 65.54 65.54 90.00
Fractional coordinates of all 5 atoms:
Nb  0.250  0.750  0.500
Nb  0.750  0.250  0.500
F  0.000  0.000  0.000
Ni  0.375  0.375  0.251
Ni  0.625  0.625  0.749

## Properties
Total magnetic moment   0.00 μB/atom
Excess energy over the best structure of this formula in the dataset   311 meV per atom
Theoretical density   6.6 Mg/m³



No. 3
Nb3NiF | PBE+U | relaxed

a b c (Å): 4.254 4.254 4.254
angles (deg): 90.00 90.00 90.00
Fractional coordinates of all 5 atoms:
Nb  0.000  0.500  0.000
Nb  0.000  0.000  0.500
Nb  0.500  0.000  0.000
Ni  0.500  0.500  0.500
F  0.000  0.000  0.000

## Properties
Total magnetic moment   0.00 μB/atom
Excess energy over the best structure of this formula in the dataset   0 meV per atom
Theoretical density   7.7 Mg/m³



No. 4
NbNi2F | PBE+U | relaxed

a b c (Å): 6.592 6.592 5.204
angles (deg): 50.70 50.70 90.00
Fractional coordinates of all 8 atoms:
Nb  0.000  0.000  0.000
Nb  0.750  0.250  0.500
Ni  0.604  0.125  0.250
Ni  0.875  0.854  0.750
Ni  0.375  0.396  0.750
Ni  0.146  0.625  0.250
F  0.250  0.750  0.500
F  0.500  0.500  0.000

## Properties
Total magnetic moment   0.00 μB/atom
Excess energy over the best structure of this formula in the dataset   0 meV per atom
Theoretical density   7.6 Mg/m³



No. 5
Nb2Ni2F | PBE+U | relaxed

a b c (Å): 7.287 7.287 2.725
angles (deg): 90.00 90.00 90.00
Fractional coordinates of all 10 atoms:
F  0.500  0.500  0.000
F  0.000  0.000  0.000
Nb  0.675  0.825  0.500
Nb  0.825  0.325  0.500
Nb  0.325  0.175  0.500
Nb  0.175  0.675  0.500
Ni  0.882  0.618  0.000
Ni  0.618  0.118  0.000
Ni  0.382  0.882  0.000
Ni  0.118  0.382  0.000

## Properties
Total magnetic moment   0.00 μB/atom
Excess energy over the best structure of this formula in the dataset   0 meV per atom
Theoretical density   7.4 Mg/m³



No. 6
NbNiOF2 | PBE+U | relaxed

a b c (Å): 4.264 4.264 3.976
angles (deg): 90.00 90.00 90.00
Last column: magnetic moment on the atom in μB.
Fractional coordinates of all 5 atoms:
F  0.000  0.500  0.000  0.04
F  0.500  0.000  0.000  0.04
Nb  0.000  0.000  0.000  1.34
Ni  0.500  0.500  0.500  1.00
O  0.000  0.000  0.500  -0.06

## Properties
Total magnetic moment   0.52 μB/atom
Excess energy over the best structure of this formula in the dataset   0 meV per atom
Theoretical density   4.7 Mg/m³



Please write out number 2 again, unchanged.
Nb2Ni2F | PBE+U | relaxed

a b c (Å): 4.354 4.354 5.258
angles (deg): 65.54 65.54 90.00
Fractional coordinates of all 5 atoms:
Nb  0.250  0.750  0.500
Nb  0.750  0.250  0.500
F  0.000  0.000  0.000
Ni  0.375  0.375  0.251
Ni  0.625  0.625  0.749

## Properties
Total magnetic moment   0.00 μB/atom
Excess energy over the best structure of this formula in the dataset   311 meV per atom
Theoretical density   6.6 Mg/m³



- Which of these has the highest total magnetic moment?
  NbNiOF2



- Which formula does entry 1 have?
  NbNi2F



- The highest excess energy over the best structure of this formula in the dataset belongs to which entry?
  number 1